(1)
An optimized crystal structure of Pr4InHg5, computed with GGA-PBE.

The structure in POSCAR format:
```
Pr4InHg5
1.0
3.878 0.000 0.000
0.000 3.878 0.000
0.000 0.000 18.631
Hg In Pr
5 1 4
direct
0.500 0.500 0.092
0.500 0.500 0.908
0.500 0.500 0.296
0.500 0.500 0.704
0.500 0.500 0.500
0.000 0.000 0.000
0.000 0.000 0.397
0.000 0.000 0.810
0.000 0.000 0.190
0.000 0.000 0.603
```

M_tot, μB/f.u.: 1.17
Formation energy, eV per atom: -0.413

***

(2)
An optimized crystal structure of ZnAgBiF6, computed with GGA-PBE.

The structure in POSCAR format:
```
ZnAgBiF6
1.0
5.890 0.000 0.000
-2.945 5.101 0.000
0.000 0.000 9.798
F Zn Ag Bi
12 2 2 2
direct
0.350 0.973 0.136
0.650 0.623 0.636
0.973 0.623 0.864
0.623 0.650 0.136
0.027 0.650 0.364
0.623 0.973 0.364
0.027 0.377 0.136
0.350 0.377 0.364
0.973 0.350 0.636
0.377 0.350 0.864
0.650 0.027 0.864
0.377 0.027 0.636
0.333 0.667 0.250
0.667 0.333 0.750
0.000 0.000 0.000
0.000 0.000 0.500
0.667 0.333 0.250
0.333 0.667 0.750
```

M_tot, μB/f.u.: 0.00
Energy relative to the elements, uncorrected, eV/atom: -2.044